1.
The following is a PBE-GGA calculation of a relaxed structure of TlSi2Cl, from Alexandria via LeMat-Bulk.

Summary:
Uncorrected formation energy ... 607 meV/atom
E above lowest polymorph ... 714 meV/atom
Total energy ... -12.629 eV/cell

abc: 3.2234 3.2234 8.2208
angles: 90.00 90.00 90.00
Last column: nearest neighbours and their distance in Å.
Space group P4/mmm (No. 123)
Inequivalent atoms, fractional coordinates:
Tl1 0.0000 0.0000 0.0000  8 Si 3.12, 4 Tl 3.22
Si1 0.5000 0.5000 0.2596  4 Cl 3.02, 4 Tl 3.12, 4 Si 3.22
Cl1 0.0000 0.0000 0.5000  8 Si 3.02, 4 Cl 3.22


2.
The following is a PBE-GGA calculation of a relaxed structure of TlSiCl, from Alexandria via LeMat-Bulk.

Summary:
Uncorrected formation energy ... 489 meV/atom
E above lowest polymorph ... 560 meV/atom
Total energy ... -32.681 eV/cell

abc: 7.0996 7.0996 7.0996
angles: 90.00 90.00 90.00
Last column: nearest neighbours and their distance in Å.
Space group F-43m (No. 216)
Inequivalent atoms, fractional coordinates:
Tl1 0.0000 0.0000 0.0000  4 Si 3.07, 4 Cl 3.07
Si1 0.2500 0.2500 0.7500  4 Tl 3.07
Cl1 0.2500 0.2500 0.2500  4 Tl 3.07


Look up the uncorrected formation energy of the second one. 489 meV/atom


Which formula does entry 2 have? TlSiCl


Among the records above, which one has the lowest total energy? TlSiCl


Among the records above, which one has the lowest total energy? TlSiCl